Here is crystalline AcInW at its relaxed geometry from OQMD via LeMat-Bulk. Energies are from PBE-GGA.

a = 5.248 Å, b = 5.248 Å, c = 5.248 Å
α = 60.00°, β = 60.00°, γ = 60.00°
Element x y z (fractional)
Ac  0.000  0.000  0.000
In  0.250  0.250  0.250
W  0.750  0.750  0.750

Values from the calculation:
Calculated volume, Å³ per atom: 34.074
Polymorph energy (0 for the lowest one), meV/atom: 633.3



Here is crystalline GdTmHg2 at its relaxed geometry from OQMD via LeMat-Bulk. Energies are from PBE-GGA.

a = 3.674 Å, b = 3.674 Å, c = 7.514 Å
α = 90.00°, β = 90.00°, γ = 90.00°
Site moments in Bohr magnetons follow the coordinates.
Element x y z (fractional)
Gd  0.500  0.500  0.000  0.13
Hg  0.000  0.000  0.263  0.00
Hg  0.000  0.000  0.737  0.00
Tm  0.500  0.500  0.500  0.00

Values from the calculation:
Calculated volume, Å³ per atom: 25.357
ΔH_f (0 K), meV per atom: -481
Polymorph energy (0 for the lowest one), meV/atom: 0.0



Here is crystalline Tb2ErIn3NiGe2 at its relaxed geometry from OQMD via LeMat-Bulk. Energies are from PBE-GGA.

a = 4.235 Å, b = 7.301 Å, c = 7.301 Å
α = 119.88°, β = 90.00°, γ = 90.00°
Element x y z (fractional)
Er  0.000  0.402  0.402
Ge  0.500  0.665  0.334
Ge  0.500  0.334  0.665
In  0.500  0.240  0.000
In  0.500  0.000  0.240
In  0.500  0.761  0.761
Ni  0.000  0.003  0.003
Tb  0.000  0.000  0.597
Tb  0.000  0.597  0.000

Values from the calculation:
Calculated volume, Å³ per atom: 21.750
Calculated total energy, eV per atom: -4.698



Here is crystalline Al2CdTe4 at its relaxed geometry from OQMD via LeMat-Bulk. Energies are from PBE-GGA.

a = 8.457 Å, b = 8.457 Å, c = 11.733 Å
α = 90.00°, β = 90.00°, γ = 90.00°
Element x y z (fractional)
Al  0.500  0.755  0.000
Al  0.741  0.259  0.125
Al  0.245  0.500  0.250
Al  0.741  0.741  0.375
Al  0.500  0.245  0.500
Al  0.259  0.741  0.625
Al  0.755  0.500  0.750
Al  0.259  0.259  0.875
Cd  0.000  0.755  0.000
Cd  0.245  0.000  0.250
Cd  0.000  0.245  0.500
Cd  0.755  0.000  0.750
Te  0.738  0.989  0.006
Te  0.263  0.518  0.011
Te  0.482  0.737  0.239
Te  0.011  0.262  0.244
Te  0.011  0.738  0.256
Te  0.482  0.263  0.261
Te  0.263  0.482  0.489
Te  0.738  0.011  0.494
Te  0.262  0.011  0.506
Te  0.737  0.482  0.511
Te  0.518  0.263  0.739
Te  0.989  0.738  0.744
Te  0.989  0.262  0.756
Te  0.518  0.737  0.761
Te  0.737  0.518  0.989
Te  0.262  0.989  0.994

Values from the calculation:
Calculated volume, Å³ per atom: 29.968
Calculated total energy, eV per atom: -3.313